This record from the Alexandria database describes an optimized crystal structure of ZrScHg3. The functional is GGA-PBE.

Structure (POSCAR):
```
ZrScHg3
1.0
-0.1349 1.3884 4.4090
2.0430 -3.9362 1.3020
9.1511 5.1120 1.0955
Zr Hg Sc
2 6 2
Cartesian
4.1830 -0.4842 4.2780 Zr
6.7887 3.9486 5.3870 Zr
6.1044 -0.2900 1.8505 Hg
9.6175 2.8466 5.8206 Hg
5.0022 2.3660 3.4056 Hg
8.6222 4.1008 2.9700 Hg
1.3542 0.6177 3.8444 Hg
2.4844 -2.0248 2.2860 Hg
7.8659 1.2807 3.8349 Sc
3.2407 0.7953 1.4211 Sc
```

formation enthalpy at 0 K	-194.4	meV/atom
SG	Cmcm (63)